Sm4W6O19 | Alexandria via LeMat-Bulk | PBE with a Hubbard U | relaxed; total energy = -7.771 eV/atom; total magnetization = 4.0 μB/cell; DOS(E_F) = 2.0 states/eV/f.u.
1.0
-4.609 4.609 4.609
4.609 -4.609 4.609
4.609 4.609 -4.609
Sm W O
4 6 19
direct
0.000 0.000 0.292 Sm
0.000 0.292 0.000 Sm
0.292 0.000 0.000 Sm
0.708 0.708 0.708 Sm
0.140 0.500 0.640 W
0.360 0.860 0.500 W
0.500 0.360 0.860 W
0.500 0.640 0.140 W
0.640 0.140 0.500 W
0.860 0.500 0.360 W
0.000 0.000 0.000 O
0.000 0.319 0.319 O
0.000 0.681 0.681 O
0.050 0.748 0.371 O
0.252 0.302 0.623 O
0.302 0.623 0.252 O
0.319 0.000 0.319 O
0.319 0.319 0.000 O
0.322 0.698 0.950 O
0.371 0.050 0.748 O
0.377 0.678 0.629 O
0.623 0.252 0.302 O
0.629 0.377 0.678 O
0.678 0.629 0.377 O
0.681 0.000 0.681 O
0.681 0.681 0.000 O
0.698 0.950 0.322 O
0.748 0.371 0.050 O
0.950 0.322 0.698 O